[1]
PBE CeTh3N3, optimized geometry; space group = Cmcm, No. 63
1.0
4.681 -4.413 0.000
4.681 4.413 0.000
0.000 0.000 7.602
Ce Th N
2 6 6
Cartesian
4.681 2.606 5.701
4.681 -2.606 1.900
4.681 2.634 1.900
2.884 0.000 0.000
2.884 0.000 3.801
6.478 0.000 0.000
6.478 0.000 3.801
4.681 -2.634 5.701
1.452 0.026 1.900
1.452 -0.026 5.701
4.681 0.052 1.900
4.681 -0.052 5.701
7.909 0.026 1.900
7.909 -0.026 5.701

=====

[2]
PBE CeTh5N6, optimized geometry; space group = C2/m, No. 12
1.0
3.160 -5.472 0.000
3.160 5.472 0.000
-2.116 0.000 5.955
Ce Th N
1 5 6
Cartesian
0.000 0.000 0.000
2.102 3.659 2.978
3.160 1.829 0.000
2.102 0.000 2.978
3.160 -1.829 0.000
2.102 -3.659 2.978
1.052 1.823 1.485
-0.005 0.000 4.468
1.052 -1.823 1.485
3.152 1.823 4.470
4.209 0.000 1.487
3.152 -1.823 4.470

=====

[3]
PBE Ce2Th3N4, optimized geometry; space group = C2/m, No. 12
1.0
6.070 -1.809 0.000
6.070 1.809 0.000
-4.528 0.000 7.690
Ce Th N
2 3 4
Cartesian
-0.474 0.000 3.013
8.087 0.000 4.677
2.750 0.000 1.546
6.070 0.000 0.000
4.862 0.000 6.144
-2.828 0.000 6.954
0.437 0.000 5.356
7.176 0.000 2.334
10.441 0.000 0.736

=====

[4]
PBE Ce2Th4N, optimized geometry; space group = I4/mmm, No. 139
1.0
-2.485 2.485 8.116
2.485 -2.485 8.116
2.485 2.485 -8.116
Ce Th N
2 4 1
Cartesian
0.000 0.000 2.618
0.000 0.000 13.614
2.485 0.000 0.000
0.000 0.000 5.658
0.000 2.485 0.000
0.000 0.000 10.574
0.000 0.000 8.116

=====

[5]
PBE CeTh2N3, optimized geometry; space group = C2/c, No. 15
1.0
3.147 -5.453 0.000
3.147 5.453 0.000
-2.097 0.000 5.938
Ce Th N
2 4 6
Cartesian
1.574 4.556 4.453
2.623 -4.556 1.484
2.623 2.741 1.484
1.574 0.911 4.453
2.623 -0.911 1.484
1.574 -2.741 4.453
0.525 2.727 2.969
-0.525 0.908 5.936
0.524 -0.908 2.967
1.574 -2.727 0.000
3.673 0.908 2.971
4.722 -0.908 0.002

=====

[6]
PBE CeThN3, optimized geometry; space group = R3m, No. 160
1.0
3.125 1.804 2.631
-3.125 1.804 2.631
0.000 -3.608 2.631
Ce Th N
1 1 3
Cartesian
0.000 0.000 0.000
0.000 0.000 4.492
-1.368 -0.790 6.133
1.368 -0.790 6.133
0.000 1.580 6.133

=====

[7]
PBE Ce3Th2N4, optimized geometry; space group = C2/m, No. 12
1.0
5.985 -1.799 0.000
5.985 1.799 0.000
-4.432 0.000 7.664
Ce Th N
3 2 4
Cartesian
0.000 0.000 0.000
-1.121 0.000 6.190
8.659 0.000 1.474
2.088 0.000 4.669
5.450 0.000 2.995
1.044 0.000 2.329
4.312 0.000 0.731
3.226 0.000 6.933
6.494 0.000 5.335

=====

[8]
PBE Ce3ThN4, optimized geometry; space group = Pm-3m, No. 221
1.0
5.089 0.000 0.000
0.000 5.089 0.000
0.000 0.000 5.089
Ce Th N
3 1 4
Cartesian
0.000 0.000 2.545
0.000 2.545 0.000
2.545 0.000 0.000
2.545 2.545 2.545
0.000 0.000 0.000
0.000 2.545 2.545
2.545 0.000 2.545
2.545 2.545 0.000

=====

[9]
PBE Ce2ThN3, optimized geometry; space group = P-3m1, No. 164
1.0
3.607 0.000 0.000
-1.804 3.124 0.000
0.000 0.000 8.818
Ce Th N
2 1 3
Cartesian
0.000 2.083 2.970
1.804 1.041 5.847
0.000 0.000 0.000
0.000 0.000 4.409
0.000 2.083 7.341
1.804 1.041 1.477

=====

[10]
PBE Ce3Th4N8, optimized geometry; space group = C2/m, No. 12
1.0
5.103 -5.120 0.000
5.103 5.120 0.000
-5.072 0.000 5.138
Ce Th N
3 4 8
Cartesian
0.000 0.000 0.000
2.551 2.560 0.000
2.551 -2.560 0.000
-2.536 0.000 2.569
0.016 2.560 2.569
0.016 -2.560 2.569
5.103 0.000 0.000
-2.518 0.000 4.978
2.567 2.711 2.569
-0.124 0.000 2.586
5.103 2.560 0.000
5.103 -2.560 0.000
5.258 0.000 2.553
2.567 -2.711 2.569
7.653 0.000 0.161

=====

[11]
PBE CeTh2N, optimized geometry; energy above the lowest structure with this stoichiometry = 0.0000 eV per atom; space group = R-3m, No. 166
1.0
1.750 1.010 9.433
-1.750 1.010 9.433
0.000 -2.021 9.433
Ce Th N
1 2 1
Cartesian
0.000 0.000 0.000
0.000 0.000 3.228
0.000 0.000 25.071
0.000 0.000 14.150

=====

[12]
PBE Ce5ThN6, optimized geometry; space group = C2/m, No. 12
1.0
3.107 -5.381 0.000
3.107 5.381 0.000
-2.071 0.000 5.858
Ce Th N
5 1 6
Cartesian
0.000 0.000 0.000
2.072 3.591 2.929
3.107 1.806 0.000
3.107 -1.806 0.000
2.072 -3.591 2.929
2.072 0.000 2.929
1.031 1.803 1.458
-0.010 0.000 4.399
1.031 -1.803 1.458
3.112 1.803 4.399
4.153 0.000 1.459
3.112 -1.803 4.399

=====

no.,uncorrected formation energy (eV/atom),total moment (μB per cell),electronic total energy (eV/atom)
1,-1.122,1.885,-8.717
2,-1.568,0.000,-9.317
3,-1.323,0.002,-8.815
4,-0.191,1.749,-7.316
5,-1.561,0.000,-9.186
6,-0.887,0.000,-8.553
7,-1.305,0.001,-8.632
8,-1.528,0.959,-8.843
9,-1.530,0.028,-8.908
10,-1.354,1.134,-8.960
11,-0.452,0.897,-7.727
12,-1.520,0.002,-8.774